# Tb2PrRu

Tb2PrRu after structural relaxation (PBE, Alexandria).

a b c (Å): 3.6392 3.6392 10.8684
angles (deg): 80.36 80.36 60.00
Last column: nearest neighbours and their distance in Å.
Atoms (fractional coordinates):
Tb 0.1111 0.1111 0.6666  3 Ru 2.75
Tb 0.8889 0.8889 0.3334  3 Ru 2.75
Ru 0.5000 0.5000 0.5000  6 Tb 2.75
Pr 0.0000 0.0000 0.0000  2 Tb 3.56, 6 Pr 3.64

Summary:
- ΔH_f (0 K): 0.097 eV per atom